The following is a DFT calculation (PBE) of a geometry-optimized GaRu5 structure.

Lattice parameters (Å, degrees): 7.1581 7.1581 2.8527 90.00 90.00 144.63
Atoms (fractional coordinates):
1 Ga 0.0000 0.0000 0.0000
2 Ru 0.1486 0.8514 0.5000
3 Ru 0.3123 0.6877 0.0000
4 Ru 0.5000 0.5000 0.5000
5 Ru 0.6877 0.3123 0.0000
6 Ru 0.8514 0.1486 0.5000

Summary:
VASP energy	-8.15	eV per atom
M_tot	0.00	μB per formula unit